1.
DFT (PBE) results for an optimized crystal structure of H2Se2F.

It has space group I4/mmm (No. 139), with a = 3.9995 Å, b = 3.9995 Å, c = 8.0062 Å, α = 90.00°, β = 90.00° and γ = 90.00°. The asymmetric unit holds H at (0.0000, 0.0000, 0.1793), Se at (0.0000, 0.5000, 0.2500) and F at (0.0000, 0.0000, 0.5000).

The total magnetization comes out at 0.00 μB per atom. For the energy above the most stable polymorph in this dataset, the calculation gives 147 kJ/mol of formula units. Its final energy is -2.709 eV per atom.

---

2.
DFT (PBE) results for an optimized crystal structure of Sm5ScTl2.

It has space group P6_3/mmc (No. 194), with a = 5.4185 Å, b = 5.4185 Å, c = 20.2433 Å, α = 90.00°, β = 90.00° and γ = 120.00°. The asymmetric unit holds Sm at (0.0000, 0.0000, 0.1622), Sm at (0.3333, 0.6667, 0.0558), Sm at (0.3333, 0.6667, 0.2500), Sc at (0.3333, 0.6667, 0.7500) and Tl at (0.3333, 0.6667, 0.6031).

The calculation puts the calculated formation energy at -89 meV/atom. The total magnetization comes out at 0.00 μB per atom. Its final energy is -4.422 eV per atom.

---

3.
DFT (PBE) results for an optimized crystal structure of Ti3GaOs4.

It has space group P4/mmm (No. 123), with a = 3.0980 Å, b = 3.0980 Å, c = 12.2072 Å, α = 90.00°, β = 90.00° and γ = 90.00°. The asymmetric unit holds Ti at (0.0000, 0.0000, 0.0000), Ti at (0.0000, 0.0000, 0.2559), Ga at (0.0000, 0.0000, 0.5000), Os at (0.5000, 0.5000, 0.1254) and Os at (0.5000, 0.5000, 0.3755).

The calculation puts the calculated formation energy at -546 meV/atom. The total magnetization comes out at 0.00 μB per atom. Its final energy is -9.500 eV per atom.

---

4.
DFT (PBE) results for an optimized crystal structure of Ce2AlCo3.

It has space group P6_3/mmc (No. 194), with a = 5.3355 Å, b = 5.3355 Å, c = 7.7232 Å, α = 90.00°, β = 90.00° and γ = 120.00°. The asymmetric unit holds Ce at (0.3333, 0.6667, 0.0627), Al at (0.0000, 0.0000, 0.0000) and Co at (0.1690, 0.3379, 0.7500).

The calculation puts the calculated formation energy at -347 meV/atom. The total magnetization comes out at 0.00 μB per atom. For the energy above the most stable polymorph in this dataset, the calculation gives 0 kJ/mol of formula units. Its final energy is -6.501 eV per atom.

---

5.
DFT (PBE) results for an optimized crystal structure of LiIr2RhO8.

It has space group P-3 (No. 147), with a = 5.5912 Å, b = 5.5912 Å, c = 5.6445 Å, α = 90.00°, β = 90.00° and γ = 120.00°. The asymmetric unit holds Li at (0.0000, 0.0000, 0.0000), Ir at (0.3333, 0.6667, 0.4443), Rh at (0.0000, 0.0000, 0.5000), O at (0.0689, 0.3639, 0.6488) and O at (0.3333, 0.6667, 0.1287).

The total magnetization comes out at 0.11 μB per atom. The uncorrected formation energy comes out at -0.52 eV per atom. Its final energy is -6.078 eV per atom.

---

6.
DFT (PBE) results for an optimized crystal structure of KRePd2.

It has space group Fm-3m (No. 225), with a = 6.7178 Å, b = 6.7178 Å, c = 6.7178 Å, α = 90.00°, β = 90.00° and γ = 90.00°. The asymmetric unit holds K at (0.0000, 0.0000, 0.0000), Re at (0.0000, 0.0000, 0.5000) and Pd at (0.2500, 0.2500, 0.2500).

The calculation puts the calculated formation energy at 1061 meV/atom. The total magnetization comes out at 0.91 μB per atom. For the energy above the most stable polymorph in this dataset, the calculation gives 0 kJ/mol of formula units. Its final energy is -4.922 eV per atom.

---

Q: Look up the final energy of the first one.
A: -2.709 eV per atom